NaYNi4 after structural relaxation, computed with PBE.

a b c (Å): 4.9963 4.9963 4.9963
angles (deg): 60.00 60.00 60.00
Positions (direct):
Na: 0.0000 0.0000 0.0000
Y: 0.2500 0.2500 0.2500
Ni: 0.1246 0.6251 0.6251
Ni: 0.6251 0.1246 0.6251
Ni: 0.6251 0.6251 0.1246
Ni: 0.6251 0.6251 0.6251

Computed properties:
For the total magnetic moment, the calculation gives 0.000 μB per atom. The total DFT energy (no corrections) is -5.313 eV/atom.

=====

NaYNi3 after structural relaxation, computed with PBE.

a b c (Å): 4.8739 4.8739 4.8739
angles (deg): 90.00 90.00 90.00
Positions (direct):
Na: 0.0000 0.0000 0.0000
Y: 0.5000 0.5000 0.5000
Ni: 0.0000 0.5000 0.5000
Ni: 0.5000 0.0000 0.5000
Ni: 0.5000 0.5000 0.0000

Computed properties:
For the total magnetic moment, the calculation gives 0.000 μB per atom. The excess energy over the best structure of this formula in the dataset is 226.6 meV/atom.

=====

NaZn11Ni after structural relaxation, computed with PBE.

a b c (Å): 6.7834 6.7834 6.7237
angles (deg): 98.04 98.04 135.29
Positions (direct):
Na: 0.0000 0.0000 0.0000
Zn: 0.0000 0.5000 0.0000
Zn: 0.0138 0.6717 0.6439
Zn: 0.2716 0.4863 0.7791
Zn: 0.3283 0.9862 0.3561
Zn: 0.4863 0.2716 0.7791
Zn: 0.5000 0.0000 0.0000
Zn: 0.5000 0.5000 0.5000
Zn: 0.5137 0.7284 0.2209
Zn: 0.6717 0.0138 0.6439
Zn: 0.7284 0.5137 0.2209
Zn: 0.9862 0.3283 0.3561
Ni: 0.0000 0.0000 0.5000

Computed properties:
For the total magnetic moment, the calculation gives 0.000 μB per atom. The total DFT energy (no corrections) is -1.687 eV/atom.

=====

NaZnNi2 after structural relaxation, computed with PBE.

a b c (Å): 9.0469 9.0469 9.0469
angles (deg): 153.29 153.29 38.14
Positions (direct):
Na: 0.0000 0.0000 0.0000
Na: 0.7500 0.2500 0.5000
Zn: 0.2500 0.7500 0.5000
Zn: 0.5000 0.5000 0.0000
Ni: 0.2761 0.6250 0.1511
Ni: 0.3750 0.5261 0.6511
Ni: 0.4739 0.1250 0.8489
Ni: 0.8750 0.7239 0.3489

Computed properties:
For the total magnetic moment, the calculation gives 0.114 μB per atom. The total DFT energy (no corrections) is -3.082 eV/atom.

=====

Which of these has the highest total magnetic moment?
NaZnNi2